[1]
Entry from Alexandria via LeMat-Bulk: crystalline CaZrTe2Pb at its relaxed geometry (PBE-GGA).

```
5
Lattice="-0.066 2.411 -5.028 4.186 -3.674 -1.817 -3.901 -3.613 -1.681" Properties=species:S:1:pos:R:3 pbc="T T T"
Pb 0.109 -2.438 -4.263
Ca 2.093 -1.837 -0.908
Te -1.951 -1.807 -0.841
Te -0.033 1.205 -2.514
Zr 0.000 0.000 0.000
```

Its total energy is -0.300 Ry per atom. The space-group type is P4/mmm (123). As for the formation energy from raw total energies: 33 meV per atom.


[2]
Entry from Alexandria via LeMat-Bulk: crystalline AcDyO3 at its relaxed geometry (PBE-GGA).

```
10
Lattice="-5.122 -1.222 -2.682 -3.217 -4.640 1.747 -5.527 1.358 3.425" Properties=species:S:1:pos:R:3 pbc="T T T"
Ac -4.387 -0.016 1.875
Ac -9.479 -4.488 0.615
Dy -8.182 -0.747 2.943
Dy -5.685 -3.757 -0.453
O -5.878 -4.419 1.701
O -7.858 -3.238 -0.802
O -4.938 -1.660 -0.054
O -9.362 -2.066 1.535
O -6.741 -2.322 3.690
O -6.822 0.194 1.400
```

Its total energy is -0.588 Ry per atom. The space-group type is R32 (155). As for the formation energy from raw total energies: -3288 meV per atom.